Crystalline NaBeSe2N at its relaxed geometry. Source: Alexandria via LeMat-Bulk, functional GGA-PBE.

Values from the calculation:
**Crystal system**: tetragonal
**Energy relative to the lowest polymorph listed for this composition**: 0.00 eV/f.u.
**Raw formation energy**: 0.07 eV/atom
**Theoretical density**: 3.9 g/cm³

a = 5.361 Å, b = 5.361 Å, c = 3.022 Å
α = 90.00°, β = 90.00°, γ = 90.00°
Space group P4/mmm (No. 123)
Inequivalent atoms, fractional coordinates:
Na1 0.000 0.000 0.000
Be1 0.500 0.500 0.500
Se1 0.000 0.500 0.500
N1 0.500 0.500 0.000